Computed, not measured: crystalline BaLi2Re at its relaxed geometry at the PBE-GGA level of DFT.

a = 7.0448 Å, b = 7.0448 Å, c = 7.0448 Å
α = 90.00°, β = 90.00°, γ = 90.00°
Closest atoms and distances in Å follow each position.
Space group Fm-3m (No. 225)
One atom of each set of equivalent atoms:
Ba1 0.0000 0.0000 0.0000 (multiplicity 4)  8 Li 3.05
Li1 0.2500 0.2500 0.2500 (multiplicity 8)  4 Ba 3.05, 4 Re 3.05
Re1 0.0000 0.0000 0.5000 (multiplicity 4)  8 Li 3.05

Computed properties:
**DFT formation energy**: 0.9587 eV per atom
**Calculated total energy**: -3.59 eV/atom
**Energy above the most stable polymorph in this dataset**: 198.5 meV/atom

***

Computed, not measured: crystalline Ba2LiRe at its relaxed geometry at the PBE-GGA level of DFT.

a = 5.7748 Å, b = 5.7748 Å, c = 3.7741 Å
α = 90.00°, β = 90.00°, γ = 90.00°
Closest atoms and distances in Å follow each position.
Space group P4/mmm (No. 123)
One atom of each set of equivalent atoms:
Ba1 0.0000 0.5000 0.0000 (multiplicity 2)  4 Li 3.45, 4 Re 3.45, 2 Ba 3.77
Li1 0.0000 0.0000 0.5000 (multiplicity 1)  8 Ba 3.45, 2 Li 3.77
Re1 0.5000 0.5000 0.5000 (multiplicity 1)  8 Ba 3.45, 2 Re 3.77

Computed properties:
**DFT formation energy**: 0.9212 eV per atom
**Calculated total energy**: -3.63 eV/atom
**Energy above the most stable polymorph in this dataset**: 68.5 meV/atom

***

Computed, not measured: crystalline BaLi2Re at its relaxed geometry at the PBE-GGA level of DFT.

a = 4.7720 Å, b = 4.7720 Å, c = 19.2911 Å
α = 90.00°, β = 90.00°, γ = 90.00°
Closest atoms and distances in Å follow each position.
Space group I-42d (No. 122)
One atom of each set of equivalent atoms:
Ba1 0.0000 0.0000 0.0000 (multiplicity 4)  4 Re 3.37, 8 Li 3.59-3.60
Li1 0.0021 0.7500 0.6250 (multiplicity 8)  2 Li 2.39
Re1 0.0000 0.0000 0.5000 (multiplicity 4)  4 Li 2.69

Computed properties:
**DFT formation energy**: 1.1071 eV per atom
**Calculated total energy**: -3.44 eV/atom
**Energy above the most stable polymorph in this dataset**: 346.9 meV/atom

***

Computed, not measured: crystalline BaLi2Re at its relaxed geometry at the PBE-GGA level of DFT.

a = 6.0315 Å, b = 8.9157 Å, c = 2.9090 Å
α = 90.00°, β = 90.00°, γ = 90.00°
Closest atoms and distances in Å follow each position.
Space group Cmmm (No. 65)
One atom of each set of equivalent atoms:
Ba1 0.0000 0.0000 0.0000 (multiplicity 2)  2 Ba 2.91, 2 Re 3.02, 8 Li 3.06
Li1 0.2500 0.2500 0.5000 (multiplicity 4)  4 Li 2.91-3.02, 4 Ba 3.06, 4 Re 3.06
Re1 0.0000 0.5000 0.0000 (multiplicity 2)  2 Re 2.91, 2 Ba 3.02, 8 Li 3.06

Computed properties:
**DFT formation energy**: 0.8987 eV per atom
**Calculated total energy**: -3.65 eV/atom
**Energy above the most stable polymorph in this dataset**: 138.6 meV/atom

***

Computed, not measured: crystalline Ba2LiRe at its relaxed geometry at the PBE-GGA level of DFT.

a = 4.7685 Å, b = 4.5538 Å, c = 12.2291 Å
α = 90.00°, β = 90.00°, γ = 90.00°
Closest atoms and distances in Å follow each position.
Space group Amm2 (No. 38)
One atom of each set of equivalent atoms:
Ba1 0.0000 0.0000 0.0000 (multiplicity 2)  2 Re 3.23, 4 Li 3.46
Ba2 0.5000 0.0000 0.2776 (multiplicity 2)  2 Li 3.26, 4 Re 3.47
Li1 0.5000 0.0000 0.5870 (multiplicity 2)  2 Re 2.68
Re1 0.0000 0.0000 0.6879 (multiplicity 2)  2 Li 2.68

Computed properties:
**DFT formation energy**: 0.8527 eV per atom
**Calculated total energy**: -3.70 eV/atom
**Energy above the most stable polymorph in this dataset**: 0.0 meV/atom

***

Computed, not measured: crystalline Ba2LiRe at its relaxed geometry at the PBE-GGA level of DFT.

a = 4.9957 Å, b = 4.9957 Å, c = 20.1909 Å
α = 90.00°, β = 90.00°, γ = 90.00°
Closest atoms and distances in Å follow each position.
Space group I-42d (No. 122)
One atom of each set of equivalent atoms:
Ba1 0.2424 0.2500 0.1250 (multiplicity 8)  2 Re 3.07, 2 Li 3.10
Li1 0.0000 0.0000 0.5000 (multiplicity 4)  4 Ba 3.10
Re1 0.0000 0.0000 0.0000 (multiplicity 4)  4 Ba 3.07

Computed properties:
**DFT formation energy**: 1.3475 eV per atom
**Calculated total energy**: -3.20 eV/atom
**Energy above the most stable polymorph in this dataset**: 494.8 meV/atom

***

Computed, not measured: crystalline BaLi2Re at its relaxed geometry at the PBE-GGA level of DFT.

a = 9.2323 Å, b = 2.9311 Å, c = 6.8513 Å
α = 90.00°, β = 94.99°, γ = 90.00°
Closest atoms and distances in Å follow each position.
Space group Cm (No. 8)
One atom of each set of equivalent atoms:
Ba1 0.0000 0.0000 0.0000 (multiplicity 2)  2 Ba 2.93, 3 Re 3.18-3.24
Li1 0.2315 0.0000 0.6168 (multiplicity 2)  2 Re 2.70, 5 Li 2.78-2.93
Li2 0.4903 0.0000 0.4381 (multiplicity 2)  3 Re 2.67-2.80, 5 Li 2.78-2.93
Re1 0.2476 0.5000 0.2878 (multiplicity 2)  5 Li 2.67-2.80, 2 Re 2.93

Computed properties:
**DFT formation energy**: 0.8163 eV per atom
**Calculated total energy**: -3.73 eV/atom
**Energy above the most stable polymorph in this dataset**: 56.2 meV/atom

***

Computed, not measured: crystalline BaLiRe3 at its relaxed geometry at the PBE-GGA level of DFT.

a = 5.0801 Å, b = 5.0801 Å, c = 5.0801 Å
α = 90.00°, β = 90.00°, γ = 90.00°
Closest atoms and distances in Å follow each position.
Space group Pm-3m (No. 221)
One atom of each set of equivalent atoms:
Ba1 0.0000 0.0000 0.0000 (multiplicity 1)  6 Re 2.54
Li1 0.5000 0.5000 0.5000 (multiplicity 1)  12 Re 3.59
Re1 0.0000 0.0000 0.5000 (multiplicity 3)  2 Ba 2.54

Computed properties:
**DFT formation energy**: 3.6820 eV per atom
**Calculated total energy**: -4.55 eV/atom